Record 1
First-principles (PBE) data for a relaxed structure of LiH3Rh, as listed in Alexandria.

```
LiH3Rh
1.0
3.0224 0.0000 0.0000
-1.5112 2.6174 0.0000
0.0000 0.0000 9.9643
Li H Rh
2 6 2
Cartesian
0.0000 0.0000 0.0000
0.0000 0.0000 4.9822
0.0000 0.0000 2.4911
0.0000 0.0000 7.4732
0.0000 1.7450 0.8267
0.0000 1.7450 4.1555
1.5112 0.8725 5.8088
1.5112 0.8725 9.1376
0.0000 1.7450 2.4911
1.5112 0.8725 7.4732
```

Results
DOS at the Fermi energy: 1.60 states/eV per cell
magnetization: 0.0 μB/f.u.
VASP energy: -40.83 eV/cell



Record 2
First-principles (PBE) data for a relaxed structure of Li3H2Rh, as listed in Alexandria.

```
Li3H2Rh
1.0
2.8400 0.0000 0.0000
0.0437 4.8184 0.0000
0.0136 1.7996 4.4882
Li H Rh
3 2 1
Cartesian
0.0000 0.0000 0.0000
0.0286 3.3090 2.2441
1.4268 0.8998 2.2441
0.0192 1.7826 0.9459
2.8781 4.8354 3.5423
1.4419 2.4092 0.0000
```

Results
DOS at the Fermi energy: 1.60 states/eV per cell
relative energy among the computed polymorphs: 0.0 meV per atom
magnetization: 0.0 μB/f.u.
VASP energy: -21.70 eV/cell



Record 3
First-principles (PBE) data for a relaxed structure of LiH8Rh2, as listed in Alexandria.

```
LiH8Rh2
1.0
2.7612 -4.0550 0.0000
2.7612 4.0550 0.0000
-0.1471 0.0000 3.4452
Li H Rh
1 8 2
Cartesian
0.0000 0.0000 0.0000
0.9618 1.1245 1.7633
2.7612 1.8232 0.0000
0.9618 -1.1245 1.7633
2.4444 0.0000 0.8736
2.9311 0.0000 2.5716
4.4136 1.1245 1.6819
2.7612 -1.8232 0.0000
4.4136 -1.1245 1.6819
2.6877 1.5139 1.7226
2.6877 -1.5139 1.7226
```

Results
DOS at the Fermi energy: 1.61 states/eV per cell
magnetization: 0.0 μB/f.u.
VASP energy: -44.34 eV/cell



Record 4
First-principles (PBE) data for a relaxed structure of Li3H2Rh, as listed in Alexandria.

```
Li3H2Rh
1.0
-2.7726 3.3827 3.1612
2.7726 -3.3827 3.1612
2.7726 3.3827 -3.1612
Li H Rh
6 4 2
Cartesian
1.3863 3.1002 -1.5806
1.3863 -0.2825 1.5806
0.0000 1.6913 0.1649
2.7726 1.6913 2.9963
-1.3863 3.6651 1.5806
1.3863 3.6651 1.5806
2.7726 1.6913 -1.3399
-1.3863 1.6913 1.5806
1.3863 1.6913 1.5806
0.0000 1.6913 4.5011
2.7726 1.6913 0.3486
0.0000 1.6913 2.8126
```

Results
DOS at the Fermi energy: 1.39 states/eV per cell
relative energy among the computed polymorphs: 24.2 meV per atom
magnetization: 0.0 μB/f.u.
VASP energy: -43.10 eV/cell



Number 4 is which compound?
Li3H2Rh